1.
A geometry-optimized CoSbTe2 structure. Source: the Alexandria database, functional GGA-PBE.

Properties
As for the calculated total energy: -15.54 eV/cell. The crystal system is trigonal. Its symmetry is R-3m. The density of states at the Fermi level is 1.2 states/eV/cell. Its formation energy from raw total energies is 494 meV/atom.

Cell: 8.6746 8.6746 8.6746 Å, 29.94 29.94 29.94°
Last column: nearest neighbours and their distance in Å.
Element x y z (fractional)
Te (0.9012, 0.9012, 0.9012)  1 Co 2.45
Te (0.0988, 0.0988, 0.0988)  1 Co 2.45
Sb (0.5000, 0.5000, 0.5000)  6 Te 3.09
Co (0.0000, 0.0000, 0.0000)  2 Te 2.45


2.
A geometry-optimized AcPm2Nd5Y structure. Source: the Alexandria database, functional GGA-PBE.

Properties
As for the calculated total energy: -83.22 eV/cell. The crystal system is tetragonal. For the energy of formation from the pure elements, the calculation gives 2.302 eV/f.u. Its symmetry is I4/mcm. The density of states at the Fermi level is 25.2 states/eV/cell.

Cell: 9.0936 9.0936 10.1870 Å, 116.51 116.51 90.00°
Last column: nearest neighbours and their distance in Å.
Element x y z (fractional)
Ac (0.2500, 0.2500, 0.5000)  10 Nd 3.76-3.95
Ac (0.7500, 0.7500, 0.5000)  10 Nd 3.76-3.95
Nd (0.9270, 0.4270, 0.2649)  1 Pm 3.11, 1 Y 3.23
Nd (0.5730, 0.6620, 0.7351)  1 Pm 3.11, 1 Y 3.23
Nd (0.0000, 0.0000, 0.0000)  4 Pm 3.65, 8 Nd 3.88, 2 Ac 3.95
Nd (0.0730, 0.5730, 0.7351)  1 Pm 3.11, 1 Y 3.23
Nd (0.1620, 0.0730, 0.7351)  1 Pm 3.11, 1 Y 3.23
Nd (0.4270, 0.3380, 0.2649)  1 Pm 3.11, 1 Y 3.23
Nd (0.5000, 0.5000, 0.0000)  4 Pm 3.65, 8 Nd 3.88, 2 Ac 3.95
Nd (0.3380, 0.8380, 0.2649)  1 Pm 3.11, 1 Y 3.23
Nd (0.8380, 0.9270, 0.2649)  1 Pm 3.11, 1 Y 3.23
Nd (0.6620, 0.1620, 0.7351)  1 Pm 3.11, 1 Y 3.23
Y (0.7500, 0.2500, 0.5000)  4 Nd 3.23
Y (0.2500, 0.7500, 0.5000)  4 Nd 3.23
Pm (0.3847, 0.8847, 0.0000)  1 Pm 2.97, 2 Nd 3.11
Pm (0.1153, 0.3847, 0.0000)  1 Pm 2.97, 2 Nd 3.11
Pm (0.6153, 0.1153, 0.0000)  1 Pm 2.97, 2 Nd 3.11
Pm (0.8847, 0.6153, 0.0000)  1 Pm 2.97, 2 Nd 3.11


3.
A geometry-optimized Ca2LaPt structure. Source: the Alexandria database, functional GGA-PBE.

Properties
As for the calculated total energy: -17.31 eV/cell. The crystal system is orthorhombic. For the energy of formation from the pure elements, the calculation gives -2.340 eV/f.u. Its symmetry is Amm2. The density of states at the Fermi level is 2.7 states/eV/cell.

Cell: 3.9461 4.3259 8.3231 Å, 74.92 90.00 90.00°
Last column: nearest neighbours and their distance in Å.
Element x y z (fractional)
Pt (0.5000, 0.9833, 0.6594)  4 La 2.97, 3 Ca 3.02-3.13
Ca (0.5000, 0.1703, 0.2839)  1 Pt 3.02
Ca (0.0000, 0.8308, 0.9623)  2 Pt 3.13
La (0.0000, 0.5156, 0.5944)  4 Pt 2.97


4.
A geometry-optimized P3Pb structure. Source: the Alexandria database, functional GGA-PBE.

Properties
As for the calculated total energy: -38.70 eV/cell. The crystal system is orthorhombic. For the energy of formation from the pure elements, the calculation gives 0.588 eV/f.u. Its symmetry is Pmmn. The density of states at the Fermi level is 3.0 states/eV/cell.

Cell: 4.7121 5.1691 7.4441 Å, 90.00 90.00 90.00°
Last column: nearest neighbours and their distance in Å.
Element x y z (fractional)
P (0.6994, 0.0000, 0.5000)  2 P 2.19
P (0.0242, 0.5000, 0.2360)  1 P 2.19
P (0.3006, 0.5000, 0.0000)  2 P 2.19
P (0.0242, 0.5000, 0.7640)  1 P 2.19
P (0.9758, 0.0000, 0.7360)  1 P 2.19
P (0.9758, 0.0000, 0.2640)  1 P 2.19
Pb (0.5573, 0.0000, 0.0000)  4 P 2.78-2.85
Pb (0.4427, 0.5000, 0.5000)  4 P 2.78-2.85


Q: Which magnetic moment values were calculated for the entries above? A: 0.50, 0.00, 0.00, 0.00, in μB/atom.